# 1
## ScUOs (PBE)

Data for an optimized crystal structure of ScUOs.

Summary:
- magnetic moment (Bohr magnetons per cell) = 0.7
- formation enthalpy at 0 K (meV/atom) = -38
- energy (eV/cell) = -29.0

Cell: 3.450 3.450 5.593 Å, 107.96 107.96 90.00°
Fractional positions:
Sc1 0.996 0.996 0.992
Os1 0.313 0.313 0.625
U1 0.692 0.692 0.383

# 2
## Sc2UOs4 (PBE)

Data for an optimized crystal structure of Sc2UOs4.

Summary:
- magnetic moment (Bohr magnetons per cell) = 0.0
- formation enthalpy at 0 K (meV/atom) = 192
- energy (eV/cell) = -67.5

Cell: 5.496 5.496 5.496 Å, 111.91 108.26 108.26°
Fractional positions:
Sc1 0.500 0.500 0.000
Sc2 0.500 0.000 0.500
U1 0.000 0.000 0.000
Os1 0.500 0.000 0.000
Os2 0.500 0.500 0.500
Os3 0.000 0.000 0.500
Os4 0.000 0.500 0.000